(1)
Crystalline Ac2ScHgSe5 at its relaxed geometry. Source: the Alexandria database, functional PBE.

```
18
Lattice="2.120 -9.065 0.000 2.120 9.065 0.000 0.000 0.000 12.770" Properties=species:S:1:pos:R:3 pbc="T T T"
Ac 2.120 6.880 6.385
Ac 2.120 6.585 1.475
Ac 2.120 -6.585 7.860
Ac 2.120 -6.880 0.000
Sc 2.120 5.445 10.455
Sc 2.120 -5.445 4.070
Hg 2.120 0.594 3.367
Hg 2.120 -0.594 9.752
Se 2.120 8.094 11.229
Se 2.120 3.808 5.919
Se 2.120 3.479 2.171
Se 2.120 2.708 10.359
Se 2.120 0.123 7.266
Se 2.120 -0.123 0.881
Se 2.120 -2.708 3.975
Se 2.120 -3.479 8.556
Se 2.120 -3.808 12.304
Se 2.120 -8.094 4.845
```

Raw formation energy ... -1.512 eV per atom
Density of states at the Fermi level ... 4.05 states/eV/cell
Electronic total energy ... -45.9 eV per formula unit
Size of the total moment ... 0.0 μB per cell


(2)
Crystalline Li2Cd3Hg at its relaxed geometry. Source: the Alexandria database, functional PBE.

```
12
Lattice="3.239 -3.228 0.000 3.239 3.228 0.000 -3.191 0.000 11.632" Properties=species:S:1:pos:R:3 pbc="T T T"
Li 0.812 0.808 1.022
Li -0.783 -0.808 6.838
Li 4.071 0.808 4.794
Li 2.475 -0.808 10.610
Cd 2.441 2.416 2.908
Cd 0.826 0.799 4.879
Cd -0.769 -0.799 10.695
Cd 4.057 0.799 0.937
Cd 2.461 -0.799 6.753
Cd 0.846 -2.416 8.724
Hg 0.846 0.828 8.724
Hg 2.441 -0.828 2.908
```

Distance to the lowest polymorph of the same formula ... 0 meV per atom
Density of states at the Fermi level ... 2.37 states/eV/cell
Energy of formation from the pure elements ... -1.215 eV/f.u.
Electronic total energy ... -8.1 eV per formula unit
Size of the total moment ... 0.0 μB per cell


(3)
Crystalline CuSb2SI at its relaxed geometry. Source: the Alexandria database, functional PBE.

```
5
Lattice="5.185 0.000 0.000 0.000 5.185 0.000 0.000 0.000 5.022" Properties=species:S:1:pos:R:3 pbc="T T T"
Cu 0.000 0.000 0.000
Sb 0.000 2.592 0.000
Sb 2.592 0.000 0.000
S 2.592 2.592 2.511
I 0.000 0.000 2.511
```

Distance to the lowest polymorph of the same formula ... 0 meV per atom
Raw formation energy ... 0.635 eV per atom
Density of states at the Fermi level ... 3.19 states/eV/cell
Electronic total energy ... -14.8 eV per formula unit
Size of the total moment ... 0.0 μB per cell


(4)
Crystalline CaPuNp2P4 at its relaxed geometry. Source: the Alexandria database, functional PBE.

```
8
Lattice="-2.824 2.824 5.672 2.824 -2.824 5.672 2.824 2.824 -5.672" Properties=species:S:1:pos:R:3 pbc="T T T"
Ca 0.000 0.000 0.000
Pu 2.824 0.000 2.836
Np 0.000 0.000 5.672
Np 0.000 2.824 2.836
P 0.000 0.000 2.953
P 0.000 2.824 0.028
P 0.000 0.000 8.391
P 0.000 2.824 5.644
```

Density of states at the Fermi level ... 23.74 states/eV/cell
Energy of formation from the pure elements ... -7.919 eV/f.u.
Electronic total energy ... -71.8 eV per formula unit
Size of the total moment ... 11.9 μB per cell


(5)
Crystalline Rb2Tl4Br3F2 at its relaxed geometry. Source: the Alexandria database, functional PBE.

```
11
Lattice="-2.511 2.511 15.722 2.511 -2.511 15.722 2.511 2.511 -15.722" Properties=species:S:1:pos:R:3 pbc="T T T"
Rb 0.000 0.000 6.235
Rb 0.000 0.000 25.209
Tl 2.511 0.000 2.585
Tl 2.511 0.000 13.137
Tl 0.000 2.511 2.585
Tl 0.000 2.511 13.137
Br 0.000 0.000 9.765
Br 0.000 0.000 15.722
Br 0.000 0.000 21.679
F 0.000 0.000 3.499
F 0.000 0.000 27.945
```

Raw formation energy ... -1.325 eV per atom
Density of states at the Fermi level ... 1.93 states/eV/cell
Electronic total energy ... -34.7 eV per formula unit
Size of the total moment ... 0.0 μB per cell


(6)
Crystalline Ba2TcN4 at its relaxed geometry. Source: the Alexandria database, functional PBE.

```
14
Lattice="6.341 0.000 0.000 0.000 6.194 0.000 -2.575 0.000 7.391" Properties=species:S:1:pos:R:3 pbc="T T T"
Ba 1.195 1.548 0.174
Ba 0.422 1.548 4.158
Ba 3.345 4.645 3.233
Ba 2.572 4.645 7.217
Tc -0.529 4.645 5.814
Tc 4.296 1.548 1.577
N -1.520 3.183 5.379
N -1.520 6.108 5.379
N 2.337 4.645 0.234
N 1.075 4.645 4.953
N 2.692 1.548 2.438
N 1.430 1.548 7.157
N 5.287 0.086 2.013
N 5.287 3.011 2.013
```

Raw formation energy ... -0.379 eV per atom
Density of states at the Fermi level ... 6.45 states/eV/cell
Electronic total energy ... -50.2 eV per formula unit
Size of the total moment ... 2.1 μB per cell